Version one
Below is a relaxed structure of TaTe2NO, with properties calculated at the PBE level.

Computed properties:
Space group: P4/mmm, No. 123
Magnetization: 0.0 μB per cell

Cell lengths 4.7061, 4.7061, 3.7636 Å; angles 90.00, 90.00, 90.00 degrees
With the nearest neighbours (Å) after each atom.
Fractional coordinates of all 5 atoms:
Ta 0.0000 0.0000 0.0000  8 Te 3.01, 4 N 3.33
Te 0.0000 0.5000 0.5000  2 O 2.35
Te 0.5000 0.0000 0.5000  2 O 2.35
N 0.5000 0.5000 0.0000  2 O 1.88
O 0.5000 0.5000 0.5000  2 N 1.88

=====

Version two
Below is a relaxed structure of TaTe2NO, with properties calculated at the PBE level.

Computed properties:
Space group: P4/mmm, No. 123
Magnetization: 1.5 μB per cell

Cell lengths 5.4727, 5.4727, 3.8833 Å; angles 90.00, 90.00, 90.00 degrees
With the nearest neighbours (Å) after each atom.
Fractional coordinates of all 5 atoms:
Ta 0.0000 0.0000 0.0000  2 N 1.94
Te 0.0000 0.5000 0.0000  2 Ta 2.74
Te 0.5000 0.0000 0.0000  2 Ta 2.74
N 0.0000 0.0000 0.5000  2 Ta 1.94
O 0.5000 0.5000 0.5000  8 Te 3.36

=====

Relative energy table, unit eV/atom: version one 0.558; version two 0.000

=====

Version one
Below is a relaxed structure of TcTe2NO, with properties calculated at the PBE level.

Computed properties:
Space group: P4/mmm, No. 123
Magnetization: 0.5 μB per cell

Cell lengths 5.2485, 5.2485, 3.6700 Å; angles 90.00, 90.00, 90.00 degrees
With the nearest neighbours (Å) after each atom.
Fractional coordinates of all 5 atoms:
Tc 0.0000 0.0000 0.0000  2 N 1.83
Te 0.0000 0.5000 0.0000  2 Tc 2.62
Te 0.5000 0.0000 0.0000  2 Tc 2.62
N 0.0000 0.0000 0.5000  2 Tc 1.83
O 0.5000 0.5000 0.5000  8 Te 3.20

=====

Version two
Below is a relaxed structure of TcTe2NO, with properties calculated at the PBE level.

Computed properties:
Space group: P4/mmm, No. 123
Magnetization: 0.8 μB per cell

Cell lengths 4.7228, 4.7228, 3.5717 Å; angles 90.00, 90.00, 90.00 degrees
With the nearest neighbours (Å) after each atom.
Fractional coordinates of all 5 atoms:
Tc 0.0000 0.0000 0.0000  8 Te 2.96
Te 0.0000 0.5000 0.5000  2 O 2.36
Te 0.5000 0.0000 0.5000  2 O 2.36
N 0.5000 0.5000 0.0000  2 O 1.79
O 0.5000 0.5000 0.5000  2 N 1.79

=====

Relative energy table, unit eV/atom: version one 0.000; version two 0.618